No. 1
DFT (PBE) results for a relaxed Lu3CuC crystal.

```
Lu3CuC
1.0
4.7187 0.0000 0.0000
0.0000 4.7187 0.0000
0.0000 0.0000 4.7187
Lu Cu C
3 1 1
Direct
0.0000 0.0000 0.5000
0.0000 0.5000 0.0000
0.5000 0.0000 0.0000
0.5000 0.5000 0.5000
0.0000 0.0000 0.0000
```

Summary:
Total energy (eV per atom): -5.548
Formation energy (meV/atom): -172
Symmetry: Pm-3m (221)
M_tot (Bohr magnetons per cell): 0.01
Density of states at the Fermi level (states/eV per atom): 1.27


No. 2
DFT (PBE) results for a relaxed Tl2Zn2As crystal.

```
Tl2Zn2As
1.0
6.7722 0.0000 0.0000
0.0000 6.7722 0.0000
0.0000 0.0000 5.1594
Tl Zn As
4 4 2
Direct
0.1778 0.3222 0.0000
0.3222 0.8222 0.0000
0.6778 0.1778 0.0000
0.8222 0.6778 0.0000
0.1313 0.6313 0.5000
0.3687 0.1313 0.5000
0.6313 0.8687 0.5000
0.8687 0.3687 0.5000
0.0000 0.0000 0.5000
0.5000 0.5000 0.5000
```

Summary:
Total energy (eV per atom): -2.323
Formation energy (meV/atom): 63
Symmetry: P4/mbm (127)
ΔE to the lowest computed polymorph (eV/atom): 0.000
M_tot (Bohr magnetons per cell): 0.00
Density of states at the Fermi level (states/eV per atom): 0.50


No. 3
DFT (PBE) results for a relaxed Cu2HgMo crystal.

```
Cu2HgMo
1.0
10.0570 0.0000 0.0000
0.0000 2.7160 0.0000
-1.6738 0.0000 4.4780
Cu Hg Mo
4 2 2
Direct
0.0000 0.0000 0.0000
0.2159 0.5000 0.3107
0.5000 0.5000 0.0000
0.7159 0.0000 0.3107
0.2434 0.0000 0.8252
0.7434 0.5000 0.8252
0.4674 0.0000 0.4723
0.9674 0.5000 0.4723
```

Summary:
Total energy (eV per atom): -4.375
Formation energy (meV/atom): 457
Symmetry: Cm (8)
M_tot (Bohr magnetons per cell): 0.73
Density of states at the Fermi level (states/eV per atom): 1.07


No. 4
DFT (PBE) results for a relaxed KMnFeSe3 crystal.

```
KMnFeSe3
1.0
8.6464 0.0000 0.0000
0.0000 3.7102 0.0000
-3.6965 0.0000 8.7376
K Mn Fe Se
2 2 2 6
Direct
0.2238 0.2500 0.2585
0.7762 0.7500 0.7415
0.3286 0.7500 0.8519
0.6714 0.2500 0.1481
0.0651 0.2500 0.5929
0.9349 0.7500 0.4071
0.1349 0.2500 0.8663
0.2402 0.7500 0.5597
0.4688 0.7500 0.1363
0.5312 0.2500 0.8637
0.7598 0.2500 0.4403
0.8651 0.7500 0.1337
```

Summary:
Total energy (eV per atom): -5.424
Symmetry: P2_1/m (11)
M_tot (Bohr magnetons per cell): 12.10
Formation energy without anion corrections (eV per atom): -0.561
Density of states at the Fermi level (states/eV per atom): 0.57


No. 5
DFT (PBE) results for a relaxed Rb3Nd3PdO8 crystal.

```
Rb3Nd3PdO8
1.0
3.5434 2.0458 6.6108
-3.5434 2.0458 6.6108
0.0000 -4.0916 6.6108
Rb Nd Pd O
3 3 1 8
Direct
0.0000 0.5000 0.5000
0.5000 0.0000 0.5000
0.5000 0.5000 0.0000
0.0000 0.0000 0.5000
0.0000 0.5000 0.0000
0.5000 0.0000 0.0000
0.5000 0.5000 0.5000
0.2263 0.2263 0.2263
0.2559 0.7060 0.7060
0.2940 0.2940 0.7441
0.2940 0.7441 0.2940
0.7060 0.2559 0.7060
0.7060 0.7060 0.2559
0.7441 0.2940 0.2940
0.7737 0.7737 0.7737
```

Summary:
Total energy (eV per atom): -6.239
Symmetry: R-3m (166)
M_tot (Bohr magnetons per cell): 0.00
Formation energy without anion corrections (eV per atom): -2.101


No. 6
DFT (PBE) results for a relaxed Be2P crystal.

```
Be2P
1.0
4.0042 0.0000 0.0000
-2.0021 3.4678 0.0000
0.0000 0.0000 4.5226
Be P
4 2
Direct
0.0000 0.0000 0.0000
0.0000 0.0000 0.5000
0.3333 0.6667 0.2500
0.6667 0.3333 0.7500
0.3333 0.6667 0.7500
0.6667 0.3333 0.2500
```

Summary:
Total energy (eV per atom): -3.945
Formation energy (meV/atom): 343
Symmetry: P6_3/mmc (194)
ΔE to the lowest computed polymorph (eV/atom): 0.479
M_tot (Bohr magnetons per cell): 0.00
Density of states at the Fermi level (states/eV per atom): 0.53


No. 7
DFT (PBE) results for a relaxed ThVTcGe2 crystal.

```
ThVTcGe2
1.0
4.1063 0.0000 0.0000
0.0000 4.1063 0.0000
0.0000 0.0000 11.1073
Th V Tc Ge
2 2 2 4
Direct
0.0000 0.0000 0.0000
0.5000 0.5000 0.5000
0.0000 0.5000 0.2500
0.5000 0.0000 0.7500
0.0000 0.5000 0.7500
0.5000 0.0000 0.2500
0.0000 0.0000 0.3822
0.0000 0.0000 0.6178
0.5000 0.5000 0.1178
0.5000 0.5000 0.8822
```

Summary:
Total energy (eV per atom): -7.702
Formation energy (meV/atom): -474
Symmetry: I-4m2 (119)
M_tot (Bohr magnetons per cell): 1.36
Density of states at the Fermi level (states/eV per atom): 0.85


No. 8
DFT (PBE) results for a relaxed Pr3BiO3 crystal.

```
Pr3BiO3
1.0
3.5125 2.0279 7.8137
-3.5125 2.0279 7.8137
0.0000 -4.0559 7.8137
Pr Bi O
6 2 6
Direct
0.0462 0.4002 0.7468
0.2532 0.9538 0.5998
0.4002 0.7468 0.0462
0.5998 0.2532 0.9538
0.7468 0.0462 0.4002
0.9538 0.5998 0.2532
0.1666 0.1666 0.1666
0.8334 0.8334 0.8334
0.0543 0.6962 0.3667
0.3038 0.6333 0.9457
0.3667 0.0543 0.6962
0.6333 0.9457 0.3038
0.6962 0.3667 0.0543
0.9457 0.3038 0.6333
```

Summary:
Total energy (eV per atom): -7.255
Symmetry: R-3 (148)
ΔE to the lowest computed polymorph (eV/atom): 0.000
M_tot (Bohr magnetons per cell): 0.00
Formation energy without anion corrections (eV per atom): -2.528
Density of states at the Fermi level (states/eV per atom): 0.18


- What is the formula in the first record?
  Lu3CuC


- Look up the total energy of the third one.
  -4.375 eV per atom